No. 1
! Na4Ac3CrO8, optimized geometry, DFT PBE with a Hubbard U; values from VASP
! Uncorrected energy: -100.4 eV per formula unit
! Spin magnetization: 0.187 μB per atom
! SG: C2/m (12)
&SYSTEM
  ibrav = 0, nat = 16, ntyp = 4
/
ATOMIC_SPECIES
Na 22.99 Na.upf
Ac 227.00 Ac.upf
Cr 52.00 Cr.upf
O 16.00 O.upf
CELL_PARAMETERS angstrom
6.493 -3.546 0.000
6.493 3.546 0.000
-3.371 0.000 5.940
ATOMIC_POSITIONS angstrom
Na 0.000 0.000 0.000
Na 1.561 1.773 2.970
Na 1.561 -1.773 2.970
Na 6.493 0.000 0.000
Ac -1.685 0.000 2.970
Ac 3.246 1.773 0.000
Ac 3.246 -1.773 0.000
Cr 4.807 0.000 2.970
O 1.971 0.000 1.136
O 0.453 0.000 4.290
O 5.232 1.421 1.652
O 4.382 1.421 4.287
O 5.232 -1.421 1.652
O 4.382 -1.421 4.287
O 9.161 0.000 1.650
O 7.643 0.000 4.804

No. 2
! NaAc2CrO6, optimized geometry, DFT PBE with a Hubbard U; values from VASP
! Uncorrected energy: -70.5 eV per formula unit
! Spin magnetization: 0.097 μB per atom
! SG: P4mm (99)
&SYSTEM
  ibrav = 0, nat = 10, ntyp = 4
/
ATOMIC_SPECIES
Na 22.99 Na.upf
Ac 227.00 Ac.upf
Cr 52.00 Cr.upf
O 16.00 O.upf
CELL_PARAMETERS angstrom
5.591 0.000 0.000
0.000 5.591 0.000
0.000 0.000 4.827
ATOMIC_POSITIONS angstrom
Na 0.000 0.000 0.000
Ac 0.000 2.796 2.116
Ac 2.796 0.000 2.116
Cr 2.796 2.796 0.010
O 0.000 0.000 2.569
O 1.562 1.562 0.601
O 1.562 4.029 0.601
O 2.796 2.796 3.120
O 4.029 1.562 0.601
O 4.029 4.029 0.601